1.
Compound: ScSb2Os
Source: Alexandria via LeMat-Bulk
Functional: meta-GGA SCAN
Structure: PBEsol geometry

Unit cell a=3.2678 b=4.3890 c=6.1890 alpha=100.69 beta=90.00 gamma=111.86
Sites, in units of the cell vectors:
Os: 0.5000 0.0000 0.0000
Sb: 0.7574 0.5149 0.7811
Sb: 0.2426 0.4851 0.2189
Sc: 0.0000 0.0000 0.5000

Calculated values
Energy above the lowest structure with this stoichiometry (eV/f.u.): 0.00
Calculated total energy (eV/atom): -40.26
Magnetization (μB/f.u.): 0.000
Formation energy (no corrections) (meV/atom): -96

=====

2.
Compound: ScSb2Os
Source: Alexandria via LeMat-Bulk
Functional: meta-GGA SCAN
Structure: PBEsol geometry

Unit cell a=4.1331 b=4.1331 c=5.3720 alpha=112.62 beta=112.62 gamma=90.00
Sites, in units of the cell vectors:
Os: 0.2500 0.7500 0.5000
Sb: 0.0000 0.0000 0.0000
Sb: 0.7500 0.2500 0.5000
Sc: 0.5000 0.5000 0.0000

Calculated values
Energy above the lowest structure with this stoichiometry (eV/f.u.): 0.36
Calculated total energy (eV/atom): -40.17
Magnetization (μB/f.u.): 0.000
Formation energy (no corrections) (meV/atom): -6

=====

3.
Compound: Sc4SbOs
Source: Alexandria via LeMat-Bulk
Functional: meta-GGA SCAN
Structure: PBEsol geometry

Unit cell a=5.4779 b=5.4779 c=5.4779 alpha=60.00 beta=60.00 gamma=60.00
Sites, in units of the cell vectors:
Os: 0.7500 0.7500 0.7500
Sb: 0.0000 0.0000 0.0000
Sc: 0.3769 0.3769 0.3769
Sc: 0.3769 0.3769 0.8693
Sc: 0.8693 0.3769 0.3769
Sc: 0.3769 0.8693 0.3769

Calculated values
Calculated total energy (eV/atom): -27.36
Magnetization (μB/f.u.): 0.006
Formation energy (no corrections) (meV/atom): 317